Entry 1:
HfUIn: relaxed, GGA-PBE.

Cell: 3.0316 3.0316 14.7435 Å, 90.00 90.00 90.00°
Space group I4mm (No. 107)
One atom of each set of equivalent atoms:
Hf  0.0000  0.0000  0.0000 (multiplicity 2)
U  0.0000  0.0000  0.6614 (multiplicity 2)
In  0.0000  0.0000  0.3365 (multiplicity 2)

Formation enthalpy at 0 K   0.191 eV per formula unit
Polymorph energy (0 for the lowest one)   0.000 eV/atom

---

Entry 2:
YTiSb2: relaxed, GGA-PBE.

Cell: 7.2716 7.2716 7.2716 Å, 90.00 90.00 90.00°
Space group Fm-3m (No. 225)
One atom of each set of equivalent atoms:
Y  0.0000  0.0000  0.0000 (multiplicity 4)
Ti  0.0000  0.0000  0.5000 (multiplicity 4)
Sb  0.2500  0.2500  0.2500 (multiplicity 8)

Uncorrected formation energy   -0.46 eV/atom
Polymorph energy (0 for the lowest one)   0.253 eV/atom

---

Entry 3:
Tb3PmPr2Se6: relaxed, GGA-PBE.

Cell: 18.2432 4.1330 8.4241 Å, 90.00 104.46 90.00°
Space group C2/m (No. 12)
One atom of each set of equivalent atoms:
Tb  0.0000  0.0000  0.0000 (multiplicity 2)
Tb  0.1678  0.5000  0.3333 (multiplicity 4)
Pm  0.0000  0.0000  0.5000 (multiplicity 2)
Pr  0.1670  0.5000  0.8337 (multiplicity 4)
Se  0.0037  0.5000  0.2454 (multiplicity 4)
Se  0.1631  0.0000  0.0918 (multiplicity 4)
Se  0.1682  0.0000  0.5734 (multiplicity 4)

Uncorrected formation energy   -1.81 eV/atom